1.
VASP calculation (PBE-GGA) on PmPr4Au5 after structural relaxation. Values from VASP.

Geometry as Quantum ESPRESSO input:
```
&SYSTEM
  ibrav = 0, nat = 10, ntyp = 3
/
ATOMIC_SPECIES
Pr 140.91 Pr.upf
Au 196.97 Au.upf
Pm 145.00 Pm.upf
ATOMIC_POSITIONS angstrom
Pr 0.000 0.000 15.151
Pr 0.000 0.000 3.751
Pr 0.000 0.000 7.551
Pr 0.000 0.000 11.351
Au 1.856 1.856 1.810
Au 1.856 1.856 13.248
Au 1.856 1.856 17.092
Au 1.856 1.856 9.451
Au 1.856 1.856 5.654
Pm 0.000 0.000 0.000
CELL_PARAMETERS angstrom
3.711 0.000 0.000
0.000 3.711 0.000
0.000 0.000 18.902
```

Size of the total moment   0.0 μB per cell
Calculated total energy   -4.7797 eV/atom
Formation energy from the elements   -754 meV per atom

***

2.
VASP calculation (PBE-GGA) on Ce3ErPb4 after structural relaxation. Values from VASP.

Geometry as Quantum ESPRESSO input:
```
&SYSTEM
  ibrav = 0, nat = 8, ntyp = 3
/
ATOMIC_SPECIES
Pb 207.20 Pb.upf
Ce 140.12 Ce.upf
Er 167.26 Er.upf
ATOMIC_POSITIONS angstrom
Pb 3.923 4.197 3.265
Pb 1.292 1.366 4.785
Pb 0.417 0.442 1.545
Pb 3.049 3.272 0.025
Ce -0.204 2.831 -0.755
Ce 3.688 0.901 2.393
Ce 0.653 3.737 2.417
Er 2.835 0.000 -0.765
CELL_PARAMETERS angstrom
5.670 0.000 -1.531
-0.407 5.662 -1.509
-0.923 -1.023 7.850
```

Size of the total moment   3.8 μB per cell
Energy relative to the lowest polymorph listed for this composition   0.000 eV/atom
Calculated total energy   -5.0383 eV/atom
Formation energy from the elements   -389 meV per atom

***

3.
VASP calculation (PBE-GGA) on PuTiMo2 after structural relaxation. Values from VASP.

Geometry as Quantum ESPRESSO input:
```
&SYSTEM
  ibrav = 0, nat = 4, ntyp = 3
/
ATOMIC_SPECIES
Mo 95.94 Mo.upf
Pu 244.00 Pu.upf
Ti 47.87 Ti.upf
ATOMIC_POSITIONS angstrom
Mo 0.996 -2.086 -0.190
Mo 1.236 0.415 1.919
Pu -1.172 -0.641 0.894
Ti 1.059 -2.312 2.622
CELL_PARAMETERS angstrom
-2.344 -1.282 1.787
1.992 -4.172 -0.381
2.472 0.830 3.837
```

Size of the total moment   3.3 μB per cell
Energy relative to the lowest polymorph listed for this composition   0.089 eV/atom
Calculated total energy   -10.8174 eV/atom
Formation energy from the elements   155 meV per atom